*P*
Ce5ThIn2: optimized geometry, PBE-GGA.

Cell and atoms, written as POSCAR:
```
Ce5ThIn2
1.0
2.655 -5.838 0.000
2.655 5.838 0.000
0.000 0.000 14.128
Ce Th In
10 2 4
Direct
0.119 0.881 0.532
0.119 0.881 0.968
0.190 0.810 0.750
0.336 0.664 0.147
0.336 0.664 0.353
0.664 0.336 0.647
0.664 0.336 0.853
0.810 0.190 0.250
0.881 0.119 0.032
0.881 0.119 0.468
0.057 0.943 0.250
0.943 0.057 0.750
0.395 0.605 0.597
0.395 0.605 0.903
0.605 0.395 0.097
0.605 0.395 0.403
```

Results
SG: Cmcm, No. 63



*Q*
Ce5ThIn2: optimized geometry, PBE-GGA.

Cell and atoms, written as POSCAR:
```
Ce5ThIn2
1.0
-3.403 3.403 4.789
3.403 -3.403 4.789
3.403 3.403 -4.789
Ce Th In
5 1 2
Direct
0.000 0.000 0.000
0.072 0.072 0.554
0.072 0.518 0.000
0.518 0.072 0.000
0.518 0.518 0.446
0.581 0.581 0.000
0.045 0.545 0.500
0.545 0.045 0.500
```

Results
SG: I4mm, No. 107



*Q* (11.3 kJ/mol of atoms below the next structure)



*P*
CeThIn: optimized geometry, PBE-GGA.

Cell and atoms, written as POSCAR:
```
CeThIn
1.0
7.375 0.000 0.000
0.000 4.556 0.000
0.000 0.000 10.333
Ce Th In
4 4 4
Direct
0.122 0.250 0.092
0.378 0.750 0.592
0.622 0.250 0.408
0.878 0.750 0.908
0.127 0.250 0.408
0.373 0.750 0.908
0.627 0.250 0.092
0.873 0.750 0.592
0.125 0.250 0.749
0.375 0.750 0.249
0.625 0.250 0.751
0.875 0.750 0.251
```

Results
SG: Pnma, No. 62



*Q*
CeThIn: optimized geometry, PBE-GGA.

Cell and atoms, written as POSCAR:
```
CeThIn
1.0
5.411 0.000 0.000
-2.706 4.686 0.000
0.000 0.000 3.226
Ce Th In
1 1 1
Direct
0.000 0.000 0.000
0.333 0.667 0.000
0.667 0.333 0.500
```

Results
SG: P-6m2, No. 187



*R*
CeThIn: optimized geometry, PBE-GGA.

Cell and atoms, written as POSCAR:
```
CeThIn
1.0
-2.095 2.095 4.977
2.095 -2.095 4.977
2.095 2.095 -4.977
Ce Th In
1 1 1
Direct
0.000 0.000 0.000
0.304 0.304 0.000
0.651 0.651 0.000
```

Results
SG: I4mm, No. 107



*P* (1.3 kJ/mol of atoms below the next structure)



*P*
Ce2ThIn3: optimized geometry, PBE-GGA.

Cell and atoms, written as POSCAR:
```
Ce2ThIn3
1.0
4.179 0.000 0.000
0.000 4.179 0.000
0.000 0.000 9.686
Ce Th In
2 1 3
Direct
0.000 0.000 0.159
0.000 0.000 0.841
0.000 0.000 0.500
0.500 0.500 0.000
0.500 0.500 0.330
0.500 0.500 0.670
```

Results
SG: P4/mmm, No. 123



*Q*
Ce2ThIn3: optimized geometry, PBE-GGA.

Cell and atoms, written as POSCAR:
```
Ce2ThIn3
1.0
4.360 -4.603 0.000
4.360 4.603 0.000
-2.088 0.000 8.416
Ce Th In
4 2 6
Direct
0.114 0.620 0.868
0.380 0.886 0.632
0.620 0.114 0.368
0.886 0.380 0.132
0.079 0.921 0.250
0.921 0.079 0.750
0.172 0.348 0.505
0.348 0.172 0.005
0.426 0.574 0.250
0.574 0.426 0.750
0.652 0.828 0.995
0.828 0.652 0.495
```

Results
SG: C2/c, No. 15



*P* (9.4 kJ/mol of atoms below the next structure)



*P*
CeTh3In2: optimized geometry, PBE-GGA.

Cell and atoms, written as POSCAR:
```
CeTh3In2
1.0
9.100 0.000 0.000
0.000 3.536 0.000
0.000 0.000 21.992
Ce Th In
4 12 8
Direct
0.069 0.250 0.069
0.431 0.750 0.569
0.569 0.250 0.431
0.931 0.750 0.931
0.008 0.250 0.339
0.121 0.750 0.801
0.136 0.250 0.538
0.364 0.750 0.038
0.379 0.250 0.301
0.492 0.750 0.839
0.508 0.250 0.161
0.621 0.750 0.699
0.636 0.250 0.962
0.864 0.750 0.462
0.879 0.250 0.199
0.992 0.750 0.661
0.196 0.750 0.192
0.241 0.250 0.921
0.259 0.750 0.421
0.304 0.250 0.692
0.696 0.750 0.308
0.741 0.250 0.579
0.759 0.750 0.079
0.804 0.250 0.808
```

Results
SG: Pnma, No. 62



*Q*
CeTh3In2: optimized geometry, PBE-GGA.

Cell and atoms, written as POSCAR:
```
CeTh3In2
1.0
5.399 -5.575 0.000
5.399 5.575 0.000
0.000 0.000 6.045
Ce Th In
2 6 4
Direct
0.120 0.880 0.750
0.880 0.120 0.250
0.097 0.589 0.250
0.401 0.599 0.750
0.411 0.903 0.250
0.589 0.097 0.750
0.599 0.401 0.250
0.903 0.411 0.750
0.240 0.240 0.000
0.240 0.240 0.500
0.760 0.760 0.000
0.760 0.760 0.500
```

Results
SG: Cmcm, No. 63



*Q* (5.9 kJ/mol of atoms below the next structure)



*P*
Ce2ThIn6: optimized geometry, PBE-GGA.

Cell and atoms, written as POSCAR:
```
Ce2ThIn6
1.0
8.824 0.000 0.000
-4.412 7.642 0.000
0.000 0.000 3.590
Ce Th In
2 1 6
Direct
0.333 0.667 0.000
0.667 0.333 0.000
0.000 0.000 0.000
0.000 0.334 0.500
0.000 0.666 0.500
0.334 0.000 0.500
0.334 0.334 0.500
0.666 0.000 0.500
0.666 0.666 0.500
```

Results
SG: P6/mmm, No. 191



*Q*
Ce2ThIn6: optimized geometry, PBE-GGA.

Cell and atoms, written as POSCAR:
```
Ce2ThIn6
1.0
-2.316 3.824 7.494
2.316 -3.824 7.494
2.316 3.824 -7.494
Ce Th In
2 1 6
Direct
0.123 0.123 0.000
0.877 0.877 0.000
0.500 0.000 0.500
0.121 0.315 0.807
0.195 0.500 0.695
0.492 0.685 0.807
0.508 0.315 0.193
0.805 0.500 0.305
0.879 0.685 0.193
```

Results
SG: Immm, No. 71



*P* (18.8 kJ/mol of atoms below the next structure)



*P*
Ce8TlIn2: optimized geometry, PBE-GGA.

Cell and atoms, written as POSCAR:
```
Ce8TlIn2
1.0
7.697 -2.714 0.000
7.697 2.714 0.000
-3.074 0.000 6.961
Ce Tl In
8 1 2
Direct
0.040 0.040 0.274
0.143 0.143 0.665
0.315 0.315 0.617
0.415 0.415 0.012
0.585 0.585 0.988
0.685 0.685 0.383
0.857 0.857 0.335
0.960 0.960 0.726
0.500 0.500 0.500
0.217 0.217 0.138
0.783 0.783 0.862
```

Results
SG: C2/m, No. 12



*Q*
Ce8TlIn2: optimized geometry, PBE-GGA.

Cell and atoms, written as POSCAR:
```
Ce8TlIn2
1.0
4.285 -7.111 0.000
4.285 7.111 0.000
-2.232 0.000 5.325
Ce Tl In
8 1 2
Direct
0.081 0.275 0.590
0.230 0.770 0.000
0.275 0.081 0.590
0.407 0.407 0.149
0.593 0.593 0.851
0.725 0.919 0.410
0.770 0.230 0.000
0.919 0.725 0.410
0.000 0.000 0.000
0.311 0.689 0.500
0.689 0.311 0.500
```

Results
SG: C2/m, No. 12



*P* (11.3 kJ/mol of atoms below the next structure)



*P*
Ce6Tl5In: optimized geometry, PBE-GGA.

Cell and atoms, written as POSCAR:
```
Ce6Tl5In
1.0
2.450 -7.338 0.000
2.450 7.338 0.000
0.000 0.000 9.414
Ce Tl In
6 5 1
Direct
0.000 0.000 0.250
0.000 0.000 0.750
0.333 0.667 0.249
0.333 0.667 0.751
0.667 0.333 0.249
0.667 0.333 0.751
0.164 0.836 0.000
0.167 0.833 0.500
0.500 0.500 0.500
0.833 0.167 0.500
0.836 0.164 0.000
0.500 0.500 0.000
```

Results
SG: Cmmm, No. 65



*Q*
Ce6Tl5In: optimized geometry, PBE-GGA.

Cell and atoms, written as POSCAR:
```
Ce6Tl5In
1.0
5.757 -4.980 0.000
5.757 4.980 0.000
-0.946 0.000 5.685
Ce Tl In
6 5 1
Direct
0.084 0.416 0.750
0.250 0.250 0.246
0.416 0.084 0.750
0.584 0.916 0.250
0.750 0.750 0.754
0.916 0.584 0.250
0.000 0.000 0.500
0.169 0.831 0.000
0.336 0.664 0.500
0.664 0.336 0.500
0.831 0.169 0.000
0.500 0.500 0.000
```

Results
SG: C2/m, No. 12



*P* (13.4 kJ/mol of atoms below the next structure)



*P*
Ce4TlIn5: optimized geometry, PBE-GGA.

Cell and atoms, written as POSCAR:
```
Ce4TlIn5
1.0
5.876 0.000 0.000
1.948 6.475 0.000
1.968 1.092 7.169
Ce Tl In
4 1 5
Direct
0.113 0.389 0.307
0.306 0.196 0.895
0.694 0.804 0.105
0.887 0.611 0.693
0.500 0.500 0.500
0.095 0.902 0.298
0.292 0.699 0.905
0.500 0.000 0.500
0.708 0.301 0.095
0.905 0.098 0.702
```

Results
SG: P-1, No. 2



*Q*
Ce4TlIn5: optimized geometry, PBE-GGA.

Cell and atoms, written as POSCAR:
```
Ce4TlIn5
1.0
6.601 0.000 0.000
0.000 10.918 0.000
0.000 0.000 8.189
Ce Tl In
8 2 10
Direct
0.030 0.250 0.180
0.250 0.577 0.505
0.250 0.923 0.505
0.470 0.250 0.180
0.530 0.750 0.820
0.750 0.077 0.495
0.750 0.423 0.495
0.970 0.750 0.820
0.250 0.250 0.545
0.750 0.750 0.455
0.027 0.047 0.831
0.027 0.453 0.831
0.250 0.750 0.155
0.473 0.047 0.831
0.473 0.453 0.831
0.527 0.547 0.169
0.527 0.953 0.169
0.750 0.250 0.845
0.973 0.547 0.169
0.973 0.953 0.169
```

Results
SG: Pmmn, No. 59



*P* (25.5 kJ/mol of atoms below the next structure)



*P*
Ce2TlIn4: optimized geometry, PBE-GGA.

Cell and atoms, written as POSCAR:
```
Ce2TlIn4
1.0
-2.241 2.241 9.969
2.241 -2.241 9.969
2.241 2.241 -9.969
Ce Tl In
2 1 4
Direct
0.101 0.101 0.000
0.899 0.899 0.000
0.500 0.500 0.000
0.250 0.750 0.500
0.352 0.352 0.000
0.648 0.648 0.000
0.750 0.250 0.500
```

Results
SG: I4/mmm, No. 139



*Q*
Ce2TlIn4: optimized geometry, PBE-GGA.

Cell and atoms, written as POSCAR:
```
Ce2TlIn4
1.0
5.882 -3.171 0.000
5.882 3.171 0.000
0.000 0.000 10.707
Ce Tl In
4 2 8
Direct
0.116 0.116 0.000
0.384 0.384 0.500
0.616 0.616 0.500
0.884 0.884 0.000
0.000 0.000 0.500
0.500 0.500 0.000
0.001 0.499 0.250
0.250 0.750 0.250
0.250 0.750 0.750
0.499 0.001 0.750
0.501 0.999 0.250
0.750 0.250 0.250
0.750 0.250 0.750
0.999 0.501 0.750
```

Results
SG: Cmce, No. 64



*P* (1.2 kJ/mol of atoms below the next structure)



*P*
Ce4TlIn: optimized geometry, PBE-GGA.

Cell and atoms, written as POSCAR:
```
Ce4TlIn
1.0
8.544 -1.639 0.000
8.544 1.639 0.000
-2.124 0.000 5.663
Ce Tl In
4 1 1
Direct
0.000 0.000 0.000
0.000 0.000 0.465
0.182 0.182 0.413
0.834 0.834 0.567
0.660 0.660 0.892
0.335 0.335 0.069
```

Results
SG: Cm, No. 8



*Q*
Ce4TlIn: optimized geometry, PBE-GGA.

Cell and atoms, written as POSCAR:
```
Ce4TlIn
1.0
4.069 -4.732 0.000
4.069 4.732 0.000
-3.380 0.000 4.014
Ce Tl In
4 1 1
Direct
0.073 0.426 0.273
0.426 0.073 0.273
0.574 0.927 0.727
0.927 0.574 0.727
0.500 0.500 0.000
0.000 0.000 0.500
```

Results
SG: C2/m, No. 12



*Q* (9.7 kJ/mol of atoms below the next structure)